Compound: LaGaSe2
Source: the Alexandria database
Functional: PBE-GGA
Structure: relaxed

Cell: 8.380 8.380 8.380 Å, 132.35 132.35 69.67°
Sites, in units of the cell vectors:
La1 0.000 0.000 0.000
La2 0.750 0.250 0.500
Ga1 0.250 0.750 0.500
Ga2 0.500 0.500 0.000
Se1 0.109 0.625 0.984
Se2 0.375 0.359 0.484
Se3 0.641 0.125 0.016
Se4 0.875 0.891 0.516

## Properties
Magnetization, μB per cell: 0.00

---

Compound: LaGaSe2
Source: the Alexandria database
Functional: PBE-GGA
Structure: relaxed

Cell: 4.195 4.303 11.141 Å, 90.00 91.10 90.00°
Sites, in units of the cell vectors:
La1 0.241 0.250 0.329
La2 0.759 0.750 0.671
Ga1 0.315 0.750 0.115
Ga2 0.685 0.250 0.885
Se1 0.254 0.250 0.607
Se2 0.258 0.750 0.885
Se3 0.742 0.250 0.115
Se4 0.746 0.750 0.393

## Properties
Magnetization, μB per cell: 0.00

---

Compound: La2GaSe2
Source: the Alexandria database
Functional: PBE-GGA
Structure: relaxed

Cell: 8.234 8.234 3.928 Å, 90.00 90.00 90.00°
Sites, in units of the cell vectors:
La1 0.160 0.340 0.000
La2 0.340 0.840 0.000
La3 0.660 0.160 0.000
La4 0.840 0.660 0.000
Ga1 0.000 0.000 0.500
Ga2 0.500 0.500 0.500
Se1 0.142 0.642 0.500
Se2 0.358 0.142 0.500
Se3 0.642 0.858 0.500
Se4 0.858 0.358 0.500

## Properties
Magnetization, μB per cell: 0.00
Energy above the lowest structure with this stoichiometry, meV/atom: 0.0

---

Compound: LaGaSe2
Source: the Alexandria database
Functional: PBE-GGA
Structure: relaxed

Cell: 4.308 5.875 7.970 Å, 90.00 90.00 90.00°
Sites, in units of the cell vectors:
La1 0.000 0.128 0.000
La2 0.000 0.872 0.500
Ga1 0.500 0.466 0.162
Ga2 0.500 0.534 0.662
Se1 0.000 0.376 0.360
Se2 0.000 0.624 0.860
Se3 0.500 0.113 0.722
Se4 0.500 0.887 0.222

## Properties
Magnetization, μB per cell: 0.00

---

Number 1: uncorrected energy -4.78 eV per atom. Number 2: uncorrected energy -5.12 eV per atom. Number 3: uncorrected energy -5.27 eV per atom. Number 4: uncorrected energy -5.13 eV per atom.